[1]
{
  "formula": "V2PdS2",
  "functional": "GGA-PBE",
  "state": "optimized geometry",
  "final_energy_ev_per_atom": -6.767,
  "relative_energy_ev_per_atom": 0.025,
  "lattice": [[-1.739, 2.181, 2.977], [-3.227, -2.495, -0.057], [-0.541, -2.738, 4.485]],
  "species": ["V", "V", "S", "S", "Pd"],
  "fractional_positions": [[0.250, 0.750, 0.500], [0.750, 0.250, 0.500], [0.366, 0.366, 0.269], [0.634, 0.634, 0.731], [0.000, 0.000, 0.000]]
}

---

[2]
{
  "formula": "VPd2S2",
  "functional": "GGA-PBE",
  "state": "optimized geometry",
  "final_energy_ev_per_atom": -5.887,
  "lattice": [[-5.172, 0.979, -2.868], [-2.810, -3.673, 3.814], [-0.838, 3.422, 2.679]],
  "species": ["Pd", "Pd", "Pd", "Pd", "S", "S", "S", "S", "V", "V"],
  "fractional_positions": [[0.765, 0.735, 0.500], [0.265, 0.765, 0.500], [0.235, 0.265, 0.500], [0.735, 0.235, 0.500], [0.349, 0.849, 0.000], [0.151, 0.349, 0.000], [0.849, 0.651, 0.000], [0.651, 0.151, 0.000], [0.500, 0.500, 0.000], [0.000, 0.000, 0.000]]
}

---

[3]
{
  "formula": "V3PdS",
  "functional": "GGA-PBE",
  "state": "optimized geometry",
  "final_energy_ev_per_atom": -6.104,
  "relative_energy_ev_per_atom": 1.174,
  "lattice": [[-3.452, 1.442, -2.873], [-3.183, -2.122, 2.760], [-0.449, 3.958, 2.525]],
  "species": ["V", "V", "V", "S", "Pd"],
  "fractional_positions": [[0.500, 0.000, 0.000], [0.000, 0.000, 0.500], [0.000, 0.500, 0.000], [0.500, 0.500, 0.500], [0.000, 0.000, 0.000]]
}

---

| no. | total magnetic moment (Bohr magnetons per cell) | Fermi-level density of states (states/eV/cell) | formation energy without anion corrections (kJ per mole of atoms) |
| --- | --- | --- | --- |
| 1 | 0.00 | 4.04 | -41 |
| 2 | 0.80 | 7.32 | -32 |
| 3 | 6.07 | 8.26 | 119 |